a) ## BeSiTc2 (PBE-GGA)

Data for an optimized crystal structure of BeSiTc2.

The value obtained for the total magnetization is 0.00 μB/f.u.

It has space group Amm2 (No. 38), with a = 3.9009 Å, b = 2.9274 Å, c = 8.6668 Å, α = 90.00°, β = 90.00° and γ = 90.00°. The asymmetric unit holds Be at (0.0000, 0.0000, 0.0000), Si at (0.5000, 0.0000, 0.1616), Tc at (0.0000, 0.0000, 0.7284) and Tc at (0.5000, 0.0000, 0.4378).


b) ## BeSiTc2 (PBE-GGA)

Data for an optimized crystal structure of BeSiTc2.

The value obtained for the total magnetization is 0.00 μB/f.u.

It has space group I-4m2 (No. 119), with a = 3.7969 Å, b = 3.7969 Å, c = 7.0564 Å, α = 90.00°, β = 90.00° and γ = 90.00°. The asymmetric unit holds Be at (0.0000, 0.0000, 0.0000), Si at (0.0000, 0.5000, 0.7500), Tc at (0.0000, 0.0000, 0.5000) and Tc at (0.0000, 0.5000, 0.2500).


c) ## BeSiTc2 (PBE-GGA)

Data for an optimized crystal structure of BeSiTc2.

The value obtained for the total magnetization is 0.00 μB/f.u.

It has space group Cmm2 (No. 35), with a = 3.0855 Å, b = 4.3066 Å, c = 7.9517 Å, α = 90.00°, β = 90.00° and γ = 90.00°. The asymmetric unit holds Be at (0.0000, 0.0000, 0.0000), Si at (0.0000, 0.5000, 0.7588), Tc at (0.0000, 0.0000, 0.5082) and Tc at (0.0000, 0.5000, 0.2305).


d) ## BeSiTc2 (PBE-GGA)

Data for an optimized crystal structure of BeSiTc2.

The value obtained for the total magnetization is 0.00 μB/f.u.

It has space group Immm (No. 71), with a = 3.0180 Å, b = 4.5002 Å, c = 7.5159 Å, α = 90.00°, β = 90.00° and γ = 90.00°. The asymmetric unit holds Be at (0.0000, 0.0000, 0.0000), Si at (0.0000, 0.0000, 0.5000) and Tc at (0.0000, 0.5000, 0.2584).


Most stable: a). Least stable: c).